YAs2Pb: relaxed, PBE.

Cell lengths 4.2829, 6.3693, 6.3693 Å; angles 36.09, 90.00, 90.00 degrees
Sites, in units of the cell vectors:
Y 0.0000 0.0000 0.0000
As 0.0000 0.6986 0.6986
As 0.5000 0.4662 0.4662
Pb 0.5000 0.2404 0.2404

VASP energy = -5.4721 eV per atom
N(E_F) = 0.348 states/eV/atom
ΔH_f (0 K) = -0.604 eV per atom
M_tot = 0.00 μB/f.u.